[1]
{
  "formula": "CaLuGa",
  "functional": "PBE-GGA",
  "state": "relaxed",
  "lattice": [[-2.7777, -2.2367, 0.0376], [0.9395, -1.2208, -3.2166], [4.5807, -2.7718, 4.3672]],
  "species": ["Ca", "Ga", "Lu"],
  "fractional_positions": [[0.0234, 0.0234, 0.0469], [0.6769, 0.6769, 0.3538], [0.2996, 0.2996, 0.5993]],
  "spacegroup": "I4mm",
  "crystal_system": "tetragonal",
  "formation_enthalpy_0k_mev_per_atom": -301
}

***

[2]
{
  "formula": "NbHgCl2",
  "functional": "PBE-GGA",
  "state": "relaxed",
  "lattice": [[-4.2938, 6.5073, 3.9332], [-2.1403, -5.3688, 6.5457], [-0.7529, 1.3307, 6.6698]],
  "species": ["Nb", "Nb", "Hg", "Hg", "Cl", "Cl", "Cl", "Cl"],
  "fractional_positions": [[0.5000, 0.5000, 0.0000], [0.2500, 0.7500, 0.5000], [0.7500, 0.2500, 0.5000], [0.0000, 0.0000, 0.0000], [0.4890, 0.1250, 0.2500], [0.2610, 0.6250, 0.2500], [0.8750, 0.7390, 0.7500], [0.3750, 0.5110, 0.7500]],
  "spacegroup": "I-42d",
  "formation_energy_uncorrected_ev_per_atom": -0.356,
  "crystal_system": "tetragonal"
}